# Ac3TlPd6Pb2

A relaxed structure of Ac3TlPd6Pb2 (GGA-PBE, Alexandria via LeMat-Bulk).

The calculation puts the formation energy at -0.60 eV per atom.

It has space group P-3m1 (No. 164), with a = 6.0988 Å, b = 6.0988 Å, c = 9.2386 Å, α = 90.00°, β = 90.00° and γ = 120.00°. The distinct sites, in fractional coordinates, are Ac at (0.0000, 0.0000, 0.0000), Ac at (0.3333, 0.6667, 0.6327), Tl at (0.0000, 0.0000, 0.5000), Pd at (0.1773, 0.3545, 0.2820) and Pb at (0.3333, 0.6667, 0.0254).

***

# Ac2TlPd6Pb3

A relaxed structure of Ac2TlPd6Pb3 (GGA-PBE, Alexandria via LeMat-Bulk).

The calculation puts the formation energy at -0.30 eV per atom.

It has space group P4/mmm (No. 123), with a = 4.243 Å, b = 4.243 Å, c = 17.902 Å, α = 90.00°, β = 90.00° and γ = 90.00°. The distinct sites, in fractional coordinates, are Ac at (0.000, 0.000, 0.189), Tl at (0.000, 0.000, 0.500), Pd at (0.000, 0.500, 0.399), Pd at (0.500, 0.500, 0.148), Pb at (0.500, 0.500, 0.000) and Pb at (0.500, 0.500, 0.304).

***

# Ac2YPd6Pb3

A relaxed structure of Ac2YPd6Pb3 (GGA-PBE, Alexandria via LeMat-Bulk).

The calculation puts the formation energy at -0.43 eV per atom.

It has space group P4/mmm (No. 123), with a = 4.120 Å, b = 4.120 Å, c = 19.061 Å, α = 90.00°, β = 90.00° and γ = 90.00°. The distinct sites, in fractional coordinates, are Ac at (0.000, 0.000, 0.115), Y at (0.000, 0.000, 0.500), Pd at (0.000, 0.500, 0.394), Pd at (0.500, 0.500, 0.155), Pb at (0.500, 0.500, 0.000) and Pb at (0.500, 0.500, 0.296).

***

# Ac2ZnPd6Pb

A relaxed structure of Ac2ZnPd6Pb (GGA-PBE, Alexandria via LeMat-Bulk).

The calculation puts the formation energy at -0.60 eV per atom.

It has space group P-1 (No. 2), with a = 5.649 Å, b = 6.811 Å, c = 6.981 Å, α = 80.92°, β = 66.15° and γ = 65.53°. The distinct sites, in fractional coordinates, are Ac at (0.241, 0.286, 0.232), Zn at (0.500, 0.500, 0.500), Pd at (0.245, 0.270, 0.752), Pd at (0.256, 0.914, 0.576), Pd at (0.264, 0.731, 0.249) and Pb at (0.000, 0.000, 0.000).

***

# Ac2Zn3Pd4Pb

A relaxed structure of Ac2Zn3Pd4Pb (GGA-PBE, Alexandria via LeMat-Bulk).

The calculation puts the formation energy at -0.61 eV per atom.

It has space group P-4m2 (No. 115), with a = 4.538 Å, b = 4.538 Å, c = 10.671 Å, α = 90.00°, β = 90.00° and γ = 90.00°. The distinct sites, in fractional coordinates, are Ac at (0.000, 0.500, 0.231), Zn at (0.000, 0.500, 0.886), Zn at (0.500, 0.500, 0.500), Pd at (0.000, 0.000, 0.000), Pd at (0.000, 0.500, 0.648), Pd at (0.500, 0.500, 0.000) and Pb at (0.000, 0.000, 0.500).

***

# Ac2ZnPd4Pb3

A relaxed structure of Ac2ZnPd4Pb3 (GGA-PBE, Alexandria via LeMat-Bulk).

The calculation puts the formation energy at -0.55 eV per atom.

It has space group P-4m2 (No. 115), with a = 4.772 Å, b = 4.772 Å, c = 10.763 Å, α = 90.00°, β = 90.00° and γ = 90.00°. The distinct sites, in fractional coordinates, are Ac at (0.000, 0.500, 0.248), Zn at (0.000, 0.000, 0.500), Pd at (0.000, 0.000, 0.000), Pd at (0.000, 0.500, 0.619), Pd at (0.500, 0.500, 0.000), Pb at (0.000, 0.500, 0.871) and Pb at (0.500, 0.500, 0.500).